Compound: Li2PrBi
Source: the Alexandria database
Functional: GGA-PBE
Structure: optimized geometry

Unit cell a=5.0506 b=5.0506 c=5.0506 alpha=60.00 beta=60.00 gamma=60.00
With the nearest neighbours (Å) after each atom.
Fractional coordinates of all 4 atoms:
Li 0.2500 0.2500 0.2500  4 Bi 3.09, 4 Pr 3.09
Li 0.7500 0.7500 0.7500  4 Bi 3.09, 4 Pr 3.09
Pr 0.0000 0.0000 0.0000  8 Li 3.09
Bi 0.5000 0.5000 0.5000  8 Li 3.09

Total DFT energy (no corrections), eV/atom: -3.46
Energy of formation from the pure elements, kJ/mol of atoms: -32.9
Energy relative to the lowest polymorph listed for this composition, kJ/mol of atoms: 9.16